No. 1
! PBE-GGA TcSeBrN2, relaxed; values from VASP
! E_form (uncorrected) = 11.64 eV/f.u.
! raw total energy = -4.11 eV/atom
! SG = P4/mmm, No. 123
! energy relative to the lowest polymorph listed for this composition = 8.347 eV/f.u.
! total magnetization = 4.48 μB per formula unit
&SYSTEM
  ibrav = 0, nat = 5, ntyp = 4
/
ATOMIC_SPECIES
Tc 98.00 Tc.upf
Se 78.96 Se.upf
Br 79.90 Br.upf
N 14.01 N.upf
CELL_PARAMETERS angstrom
3.794 0.000 0.000
0.000 3.794 0.000
0.000 0.000 7.052
ATOMIC_POSITIONS crystal
Tc 0.000 0.000 0.000
Se 0.500 0.500 0.000
Br 0.500 0.500 0.500
N 0.000 0.500 0.500
N 0.500 0.000 0.500



No. 2
! PBE-GGA LuHIr, relaxed; values from VASP
! raw total energy = -6.26 eV/atom
! SG = P2_1/m, No. 11
! energy relative to the lowest polymorph listed for this composition = 0.000 eV/f.u.
! total magnetization = 0.00 μB per formula unit
&SYSTEM
  ibrav = 0, nat = 6, ntyp = 3
/
ATOMIC_SPECIES
Lu 174.97 Lu.upf
H 1.01 H.upf
Ir 192.22 Ir.upf
CELL_PARAMETERS angstrom
3.625 0.000 0.000
0.000 4.568 0.000
-1.801 0.000 5.194
ATOMIC_POSITIONS crystal
Lu 0.143 0.250 0.287
Lu 0.857 0.750 0.713
H 0.091 0.750 0.185
H 0.909 0.250 0.815
Ir 0.414 0.250 0.827
Ir 0.586 0.750 0.173



No. 3
! PBE-GGA Sr2ZnSb, relaxed; values from VASP
! E_form (uncorrected) = -0.65 eV/f.u.
! raw total energy = -2.35 eV/atom
! SG = I-42d, No. 122
! energy relative to the lowest polymorph listed for this composition = 2.024 eV/f.u.
! total magnetization = 0.00 μB per formula unit
&SYSTEM
  ibrav = 0, nat = 8, ntyp = 3
/
ATOMIC_SPECIES
Sr 87.62 Sr.upf
Zn 65.41 Zn.upf
Sb 121.76 Sb.upf
CELL_PARAMETERS angstrom
-3.000 3.000 9.763
3.000 -3.000 9.763
3.000 3.000 -9.763
ATOMIC_POSITIONS crystal
Sr 0.123 0.625 0.998
Sr 0.375 0.373 0.498
Sr 0.627 0.125 0.002
Sr 0.875 0.877 0.502
Zn 0.250 0.750 0.500
Zn 0.500 0.500 0.000
Sb 0.000 0.000 0.000
Sb 0.750 0.250 0.500



- What is the energy relative to the lowest polymorph listed for this composition in the third record?
  2.024 eV/f.u.



- Look up the total magnetization of the third one.
  0.00 μB per formula unit